Entry 1:
A plane-wave DFT calculation with PBE-GGA was carried out for FeHIr after structural relaxation.

a b c (Å): 3.9859 4.8108 7.3864
angles (deg): 104.22 90.00 114.47
Last column: magnetic moment on the atom in μB.
Atoms (fractional coordinates):
H 0.6782 0.3564 0.8101  -0.01
H 0.4763 0.9526 0.6744  -0.02
H 0.5237 0.0474 0.3256  -0.02
H 0.3218 0.6436 0.1899  -0.01
Ir 0.0327 0.0654 0.3330  0.36
Ir 0.1487 0.2973 0.0220  0.18
Ir 0.8513 0.7027 0.9780  0.18
Ir 0.9673 0.9346 0.6670  0.36
Fe 0.2859 0.5718 0.7490  2.69
Fe 0.3457 0.6913 0.4353  2.37
Fe 0.6543 0.3087 0.5647  2.37
Fe 0.7141 0.4282 0.2510  2.69

Results
E above lowest polymorph: 0.1383 eV/atom

=====

Entry 2:
A plane-wave DFT calculation with PBE-GGA was carried out for LaFeH2Ir after structural relaxation.

a b c (Å): 3.9453 4.9103 3.9453
angles (deg): 90.00 90.00 90.00
Last column: magnetic moment on the atom in μB.
Atoms (fractional coordinates):
H 0.0000 0.0000 0.5000  -0.03
H 0.5000 0.0000 0.0000  -0.01
Ir 0.0000 0.5000 0.0000  0.30
Fe 0.0000 0.0000 0.0000  2.68
La 0.5000 0.5000 0.5000  -0.01

Results
VASP energy: -28.6 eV/cell

=====

Entry 3:
A plane-wave DFT calculation with PBE-GGA was carried out for LaFeH8Ir2 after structural relaxation.

a b c (Å): 4.6867 4.6867 5.9424
angles (deg): 66.77 66.77 60.00
Last column: magnetic moment on the atom in μB.
Atoms (fractional coordinates):
La 0.5000 0.5000 0.5000  0.01
Fe 0.0000 0.0000 0.0000  1.91
H 0.1860 0.1860 0.4420  0.00
H 0.6413 0.0564 0.2451  -0.01
H 0.8140 0.8140 0.5580  0.00
H 0.0572 0.6413 0.2451  -0.01
H 0.9428 0.3587 0.7549  -0.01
H 0.0564 0.0572 0.2451  -0.01
H 0.9436 0.9428 0.7549  -0.01
H 0.3587 0.9436 0.7549  -0.01
Ir 0.2895 0.2895 0.1316  0.12
Ir 0.7105 0.7105 0.8684  0.12

Results
VASP energy: -60.0 eV/cell